This record from the Alexandria database describes LiFeSeI2 after structural relaxation. The functional is GGA-PBE.

Theoretical density (Mg/m³): 4.71
Calculated total energy (eV/atom): -3.498
Calculated volume (Å³ per cell): 139.4

a = 5.6379 Å, b = 4.3853 Å, c = 5.6379 Å
α = 90.00°, β = 90.00°, γ = 90.00°
Last column: nearest neighbours and their distance in Å.
Sites, in units of the cell vectors:
Fe (0.0000, 0.0000, 0.0000)  2 Se 2.19
Se (0.0000, 0.5000, 0.0000)  2 Fe 2.19
Li (0.5000, 0.5000, 0.5000)  8 I 3.57, 4 Se 3.99
I (0.5000, 0.0000, 0.0000)  2 Fe 2.82
I (0.0000, 0.0000, 0.5000)  2 Fe 2.82